Entry 1:
The following is a meta-GGA SCAN calculation of a PBEsol-optimized structure of Sc2Al2Ga, from Alexandria.

Cell lengths 6.6162, 6.6162, 4.2881 Å; angles 90.00, 90.00, 90.00 degrees
Sites, in units of the cell vectors:
Sc 0.1664 0.3336 0.0000
Sc 0.3336 0.8336 0.0000
Sc 0.6664 0.1664 0.0000
Sc 0.8336 0.6664 0.0000
Al 0.1358 0.6358 0.5000
Al 0.3642 0.1358 0.5000
Al 0.6358 0.8642 0.5000
Al 0.8642 0.3642 0.5000
Ga 0.0000 0.0000 0.5000
Ga 0.5000 0.5000 0.5000

Values from the calculation:
Energy of formation from the pure elements in kcal/mol of atoms: -11.600
Symmetry: No. 127
VASP energy in eV per atom: -12.568


Entry 2:
The following is a meta-GGA SCAN calculation of a PBEsol-optimized structure of ScAl3Ga, from Alexandria.

Cell lengths 4.7681, 4.7681, 4.7681 Å; angles 90.00, 90.00, 90.00 degrees
Sites, in units of the cell vectors:
Sc 0.0000 0.0000 0.0000
Al 0.0000 0.5000 0.5000
Al 0.5000 0.0000 0.5000
Al 0.5000 0.5000 0.0000
Ga 0.5000 0.5000 0.5000

Values from the calculation:
Energy of formation from the pure elements in kcal/mol of atoms: 9.497
Symmetry: No. 221
VASP energy in eV per atom: -10.356


Entry 3:
The following is a meta-GGA SCAN calculation of a PBEsol-optimized structure of AlGaSe2, from Alexandria.

Cell lengths 6.9764, 6.9764, 8.0286 Å; angles 90.00, 90.00, 90.00 degrees
Sites, in units of the cell vectors:
Al 0.0000 0.0000 0.0000
Al 0.0000 0.5000 0.2500
Al 0.5000 0.0000 0.7500
Al 0.5000 0.5000 0.5000
Ga 0.0000 0.0000 0.5000
Ga 0.0000 0.5000 0.7500
Ga 0.5000 0.0000 0.2500
Ga 0.5000 0.5000 0.0000
Se 0.1871 0.2500 0.1250
Se 0.2500 0.6871 0.3750
Se 0.2500 0.8129 0.8750
Se 0.3129 0.2500 0.6250
Se 0.6871 0.7500 0.6250
Se 0.7500 0.1871 0.8750
Se 0.7500 0.3129 0.3750
Se 0.8129 0.7500 0.1250

Values from the calculation:
ΔE_f (raw) in meV per atom: -588
Symmetry: No. 122
VASP energy in eV per atom: -16.652


Entry 4:
The following is a meta-GGA SCAN calculation of a PBEsol-optimized structure of AlGaSe2, from Alexandria.

Cell lengths 3.6334, 3.6334, 23.5676 Å; angles 90.00, 90.00, 120.00 degrees
Sites, in units of the cell vectors:
Al 0.0000 0.0000 0.0000
Al 0.3333 0.6667 0.6667
Al 0.6667 0.3333 0.3333
Ga 0.0000 0.0000 0.5000
Ga 0.3333 0.6667 0.1667
Ga 0.6667 0.3333 0.8333
Se 0.0000 0.0000 0.1055
Se 0.0000 0.0000 0.8945
Se 0.3333 0.6667 0.5612
Se 0.3333 0.6667 0.7722
Se 0.6667 0.3333 0.2278
Se 0.6667 0.3333 0.4388

Values from the calculation:
ΔE_f (raw) in meV per atom: -130
Symmetry: No. 166
VASP energy in eV per atom: -16.193


Entry 5:
The following is a meta-GGA SCAN calculation of a PBEsol-optimized structure of AlGa3Si, from Alexandria.

Cell lengths 4.8124, 4.8124, 4.8124 Å; angles 90.00, 90.00, 90.00 degrees
Sites, in units of the cell vectors:
Al 0.0000 0.0000 0.0000
Ga 0.0000 0.0000 0.5000
Ga 0.0000 0.5000 0.0000
Ga 0.5000 0.0000 0.0000
Si 0.5000 0.5000 0.5000

Values from the calculation:
ΔE_f (raw) in meV per atom: 807
Symmetry: No. 221
VASP energy in eV per atom: -12.554


Entry 6:
The following is a meta-GGA SCAN calculation of a PBEsol-optimized structure of Al2Ga2Sn, from Alexandria.

Cell lengths 4.2027, 4.2027, 11.0626 Å; angles 90.00, 90.00, 90.00 degrees
Sites, in units of the cell vectors:
Al 0.0000 0.5000 0.2500
Al 0.0000 0.5000 0.7500
Al 0.5000 0.0000 0.2500
Al 0.5000 0.0000 0.7500
Ga 0.0000 0.0000 0.1099
Ga 0.0000 0.0000 0.8901
Ga 0.5000 0.5000 0.3901
Ga 0.5000 0.5000 0.6099
Sn 0.0000 0.0000 0.5000
Sn 0.5000 0.5000 0.0000

Values from the calculation:
Energy of formation from the pure elements in kcal/mol of atoms: 2.587
Energy above the most stable polymorph in this dataset in meV per atom: 5
Symmetry: No. 139
VASP energy in eV per atom: -16.711